[1]
# ScHg (PBE, relaxed)
data_ScHg
_chemical_formula_sum 'Sc1 Hg1'
_space_group_name_H-M_alt 'P m -3 m'
_space_group_IT_number 221
_space_group_name_Hall '-P 4 2 3'
_cell_length_a 3.522
_cell_length_b 3.522
_cell_length_c 3.522
_cell_angle_alpha 90.00
_cell_angle_beta 90.00
_cell_angle_gamma 90.00
loop_
_atom_site_label
_atom_site_type_symbol
_atom_site_fract_x
_atom_site_fract_y
_atom_site_fract_z
_atom_site_occupancy
Sc1 Sc 0.000 0.000 0.000 1
Hg1 Hg 0.500 0.500 0.500 1
# Formation enthalpy at 0 K = -0.43 eV/atom
# DOS(E_F) = 1.02 states/eV per atom


[2]
# Li3ZnHg6 (PBE, relaxed)
data_Li3ZnHg6
_chemical_formula_sum 'Li6 Zn2 Hg12'
_space_group_name_H-M_alt 'P n n m'
_space_group_IT_number 58
_cell_length_a 8.007
_cell_length_b 11.223
_cell_length_c 4.726
_cell_angle_alpha 90.00
_cell_angle_beta 90.00
_cell_angle_gamma 90.00
loop_
_space_group_symop_operation_xyz
'x,y,z'
'-x,-y,-z'
'-x,-y,z'
'x,y,-z'
'x+1/2,-y+1/2,-z+1/2'
'-x+1/2,y+1/2,z+1/2'
'-x+1/2,y+1/2,-z+1/2'
'x+1/2,-y+1/2,z+1/2'
loop_
_atom_site_label
_atom_site_type_symbol
_atom_site_fract_x
_atom_site_fract_y
_atom_site_fract_z
_atom_site_occupancy
Li1 Li 0.000 0.000 0.000 1
Li2 Li 0.173 0.168 0.500 1
Zn1 Zn 0.000 0.500 0.000 1
Hg1 Hg 0.005 0.247 0.000 1
Hg2 Hg 0.159 0.589 0.500 1
Hg3 Hg 0.168 0.904 0.500 1
# Formation enthalpy at 0 K = -0.19 eV/atom
# DOS(E_F) = 0.26 states/eV per atom


[3]
# AcTbAsSe (PBE, relaxed)
data_AcTbAsSe
_chemical_formula_sum 'Ac3 Tb3 As3 Se3'
_space_group_name_H-M_alt 'R 3 m'
_space_group_IT_number 160
_space_group_name_Hall 'R 3 -2"'
_cell_length_a 4.2159
_cell_length_b 4.2159
_cell_length_c 22.6216
_cell_angle_alpha 90.00
_cell_angle_beta 90.00
_cell_angle_gamma 120.00
loop_
_atom_site_label
_atom_site_type_symbol
_atom_site_fract_x
_atom_site_fract_y
_atom_site_fract_z
_atom_site_occupancy
Ac1 Ac 0.0000 0.0000 0.0000 1
Tb1 Tb 0.0000 0.0000 0.8202 1
As1 As 0.0000 0.0000 0.4170 1
Se1 Se 0.0000 0.0000 0.5714 1
# Formation energy from raw total energies = -1.590 eV/atom
# DOS(E_F) = 0.63 states/eV per atom


[4]
# DyEr5Tm2Sc (PBE, relaxed)
data_DyEr5Tm2Sc
_chemical_formula_sum 'Dy4 Er20 Tm8 Sc4'
_space_group_name_H-M_alt 'C m c 21'
_space_group_IT_number 36
_cell_length_a 5.472
_cell_length_b 19.621
_cell_length_c 10.275
_cell_angle_alpha 90.00
_cell_angle_beta 90.00
_cell_angle_gamma 90.00
loop_
_space_group_symop_operation_xyz
'x,y,z'
'-x,-y,z+1/2'
'-x,y,z'
'x,-y,z+1/2'
'x+1/2,y+1/2,z'
'-x+1/2,-y+1/2,z+1/2'
'-x+1/2,y+1/2,z'
'x+1/2,-y+1/2,z+1/2'
loop_
_atom_site_label
_atom_site_type_symbol
_atom_site_fract_x
_atom_site_fract_y
_atom_site_fract_z
_atom_site_occupancy
Dy1 Dy 0.000 0.090 0.000 1
Er1 Er 0.000 0.019 0.284 1
Er2 Er 0.000 0.121 0.567 1
Er3 Er 0.000 0.200 0.251 1
Er4 Er 0.000 0.224 0.865 1
Er5 Er 0.000 0.483 0.564 1
Tm1 Tm 0.000 0.387 0.283 1
Tm2 Tm 0.000 0.389 0.858 1
Sc1 Sc 0.000 0.304 0.560 1
# Formation enthalpy at 0 K = 0.17 eV/atom
# DOS(E_F) = 1.71 states/eV per atom


[5]
# LiCaTl2 (PBE, relaxed)
data_LiCaTl2
_chemical_formula_sum 'Li1 Ca1 Tl2'
_space_group_name_H-M_alt 'P m m m'
_space_group_IT_number 47
_cell_length_a 3.607
_cell_length_b 3.695
_cell_length_c 7.546
_cell_angle_alpha 90.00
_cell_angle_beta 90.00
_cell_angle_gamma 90.00
loop_
_space_group_symop_operation_xyz
'x,y,z'
'-x,-y,-z'
'-x,-y,z'
'x,y,-z'
'x,-y,-z'
'-x,y,z'
'-x,y,-z'
'x,-y,z'
loop_
_atom_site_label
_atom_site_type_symbol
_atom_site_fract_x
_atom_site_fract_y
_atom_site_fract_z
_atom_site_occupancy
Li1 Li 0.000 0.000 0.000 1
Ca1 Ca 0.000 0.000 0.500 1
Tl1 Tl 0.500 0.500 0.213 1
# Formation enthalpy at 0 K = -0.32 eV/atom
# DOS(E_F) = 0.50 states/eV per atom


[6]
# Ba5CrN4Cl2 (PBE, relaxed)
data_Ba5CrN4Cl2
_chemical_formula_sum 'Ba10 Cr2 N8 Cl4'
_space_group_name_H-M_alt 'A m m 2'
_space_group_IT_number 38
_cell_length_a 8.771
_cell_length_b 9.686
_cell_length_c 7.788
_cell_angle_alpha 90.00
_cell_angle_beta 90.00
_cell_angle_gamma 90.00
loop_
_space_group_symop_operation_xyz
'x,y,z'
'-x,-y,z'
'-x,y,z'
'x,-y,z'
'x,y+1/2,z+1/2'
'-x,-y+1/2,z+1/2'
'-x,y+1/2,z+1/2'
'x,-y+1/2,z+1/2'
loop_
_atom_site_label
_atom_site_type_symbol
_atom_site_fract_x
_atom_site_fract_y
_atom_site_fract_z
_atom_site_occupancy
Ba1 Ba 0.000 0.000 0.000 1
Ba2 Ba 0.301 0.227 0.445 1
Cr1 Cr 0.500 0.000 0.822 1
N1 N 0.330 0.000 0.947 1
N2 N 0.500 0.161 0.708 1
Cl1 Cl 0.000 0.215 0.694 1
# Formation energy from raw total energies = -0.977 eV/atom
# DOS(E_F) = 0.42 states/eV per atom